Mg2CoMoPd: optimized geometry, GGA-PBE.

Cell and atoms, written as POSCAR:
```
Mg2CoMoPd
1.0
4.6451 0.0000 0.0000
0.0000 4.3471 0.0000
0.0000 0.0000 4.6451
Co Mg Mo Pd
1 2 1 1
Direct
0.0000 0.0000 0.0000
0.5000 0.0000 0.0000
0.0000 0.0000 0.5000
0.0000 0.5000 0.0000
0.5000 0.5000 0.5000
```

Calculated values
**ρ**: 5.49 g/cm³
**Final energy**: -0.3481 Ry/atom
**Formation energy from the elements**: 0.53 eV per atom

MgCoMo2Rh: optimized geometry, GGA-PBE.

Cell and atoms, written as POSCAR:
```
MgCoMo2Rh
1.0
-4.5263 -0.2625 0.0203
0.1700 -3.1816 -3.2257
0.1824 -2.9207 2.8904
Rh Co Mo Mg
1 1 2 1
Direct
0.5000 0.5000 0.5000
0.0000 0.0000 0.5000
0.0000 0.5000 0.0000
0.5000 0.0000 0.0000
0.0000 0.0000 0.0000
```

Calculated values
**ρ**: 7.42 g/cm³
**Final energy**: -0.4121 Ry/atom
**Formation energy from the elements**: 1.94 eV per atom

MgCoMoRu: optimized geometry, GGA-PBE.

Cell and atoms, written as POSCAR:
```
MgCoMoRu
1.0
-3.3284 1.9050 -1.9666
-2.9550 -2.3881 -2.0347
-3.9698 -0.3713 1.6365
Mg Co Mo Ru
1 1 1 1
Direct
0.0000 0.0000 0.0000
0.2500 0.2500 0.2500
0.5000 0.5000 0.5000
0.7500 0.7500 0.7500
```

Calculated values
**ρ**: 8.22 g/cm³
**Final energy**: -0.5266 Ry/atom
**Formation energy from the elements**: 0.04 eV per atom

MgCoMoS4: optimized geometry, GGA-PBE.

Cell and atoms, written as POSCAR:
```
MgCoMoS4
1.0
-3.5912 3.3884 5.2576
3.5912 -3.3884 5.2576
3.5912 3.3884 -5.2576
Mg S Co Mo
2 8 2 2
Direct
0.3711 0.1211 0.2500
0.6289 0.8789 0.7500
0.7814 0.2879 0.0066
0.7971 0.2642 0.5328
0.7686 0.7358 0.0328
0.2314 0.2642 0.9672
0.2029 0.7358 0.4672
0.2186 0.7121 0.9934
0.2186 0.2252 0.5066
0.7814 0.7748 0.4934
0.0000 0.5000 0.0000
0.0000 0.0000 0.5000
0.5000 0.5000 0.0000
0.0000 0.5000 0.5000
```

Calculated values
**ρ**: 3.99 g/cm³
**Final energy**: -0.4211 Ry/atom
**Energy relative to the elements, uncorrected**: -0.581 eV per atom

Mg2CoMo3S8: optimized geometry, GGA-PBE.

Cell and atoms, written as POSCAR:
```
Mg2CoMo3S8
1.0
6.2725 -3.6761 0.0176
6.2725 3.6761 0.0176
4.1013 0.0000 6.0032
Mg Mo S Co
2 3 8 1
Direct
0.1218 0.1218 0.1218
0.8782 0.8782 0.8782
0.0000 0.5000 0.5000
0.5000 0.0000 0.5000
0.5000 0.5000 0.0000
0.2595 0.2595 0.2595
0.7405 0.7405 0.7405
0.7292 0.2895 0.7292
0.2895 0.7292 0.7292
0.7292 0.7292 0.2895
0.2708 0.2708 0.7105
0.7105 0.2708 0.2708
0.2708 0.7105 0.2708
0.5000 0.5000 0.5000
```

Calculated values
**ρ**: 3.92 g/cm³
**Final energy**: -0.4400 Ry/atom
**Energy relative to the elements, uncorrected**: -0.572 eV per atom

Mg2Co3MoS8: optimized geometry, GGA-PBE.

Cell and atoms, written as POSCAR:
```
Mg2Co3MoS8
1.0
-6.7679 0.2246 -2.0518
-2.8638 -5.4549 -3.4797
-4.8272 -4.1086 3.1438
Mg S Co Mo
2 8 3 1
Direct
0.3739 0.3739 0.3739
0.6261 0.6261 0.6261
0.7551 0.7551 0.2039
0.2039 0.7551 0.7551
0.2449 0.2449 0.7961
0.7690 0.7690 0.7690
0.7551 0.2039 0.7551
0.2310 0.2310 0.2310
0.7961 0.2449 0.2449
0.2449 0.7961 0.2449
0.5000 0.0000 0.0000
0.0000 0.0000 0.5000
0.0000 0.5000 0.0000
0.0000 0.0000 0.0000
```

Calculated values
**ρ**: 3.86 g/cm³
**Final energy**: -0.4018 Ry/atom
**Energy relative to the elements, uncorrected**: -0.584 eV per atom

MgCo2MoS: optimized geometry, GGA-PBE.

Cell and atoms, written as POSCAR:
```
MgCo2MoS
1.0
4.3351 0.0000 0.0000
0.0000 5.3948 0.0000
0.0000 0.0000 4.3351
Mo Mg Co S
1 1 2 1
Direct
0.0000 0.0000 0.0000
0.0000 0.5000 0.0000
0.5000 0.0000 0.0000
0.0000 0.0000 0.5000
0.5000 0.5000 0.5000
```

Calculated values
**ρ**: 4.43 g/cm³
**Final energy**: -0.3507 Ry/atom
**Energy relative to the elements, uncorrected**: 1.381 eV per atom

MgCoTcMo: optimized geometry, GGA-PBE.

Cell and atoms, written as POSCAR:
```
MgCoTcMo
1.0
-1.7873 2.3087 3.1845
-3.0826 -1.7504 2.4696
0.8373 -0.9929 4.1205
Mo Mg Tc Co
1 1 1 1
Direct
0.2500 0.2500 0.2500
0.7500 0.7500 0.7500
0.5000 0.5000 0.5000
0.0000 0.0000 0.0000
```

Calculated values
**ρ**: 8.07 g/cm³
**Final energy**: -0.5418 Ry/atom
**Formation energy from the elements**: 0.10 eV per atom